Entry 1:
{
  "formula": "Pr8GeS6",
  "functional": "PBE",
  "state": "relaxed",
  "formation_energy_uncorrected_kj_per_mol_atoms": -146.5,
  "sg": "P-3",
  "dos_ef_per_ev_cell": 11.718,
  "m_tot_mub_per_cell": 0.00,
  "lattice_angstrom": [[-4.090, 0.337, -0.693], [1.285, -4.189, -9.618], [-1.921, -6.276, 8.284]],
  "species": ["Pr", "Pr", "S", "Pr", "S", "S", "S", "Ge", "Pr", "S", "Pr", "S", "Pr", "Pr", "Pr"],
  "fractional_positions": [[0.745, 0.967, 0.296], [0.255, 0.033, 0.704], [0.751, 0.652, 0.134], [0.745, 0.704, 0.671], [0.751, 0.483, 0.348], [0.249, 0.517, 0.652], [0.751, 0.866, 0.517], [0.500, 0.000, 0.000], [0.749, 0.333, 0.667], [0.249, 0.134, 0.483], [0.745, 0.329, 0.033], [0.249, 0.348, 0.866], [0.251, 0.667, 0.333], [0.255, 0.671, 0.967], [0.255, 0.296, 0.329]]
}

=====

Entry 2:
{
  "formula": "RbCeZn2Cl8",
  "functional": "PBE",
  "state": "relaxed",
  "formation_energy_uncorrected_kj_per_mol_atoms": -156.4,
  "sg": "R-3",
  "dos_ef_per_ev_cell": 8.597,
  "m_tot_mub_per_cell": 1.00,
  "lattice_angstrom": [[6.564, 0.000, 0.000], [3.282, 5.684, 0.000], [3.282, 1.895, 9.896]],
  "species": ["Rb", "Cl", "Cl", "Cl", "Cl", "Cl", "Ce", "Zn", "Cl", "Cl", "Cl", "Zn"],
  "fractional_positions": [[0.500, 0.500, 0.500], [0.825, 0.825, 0.524], [0.397, 0.714, 0.833], [0.286, 0.944, 0.167], [0.603, 0.286, 0.167], [0.175, 0.175, 0.476], [0.000, 0.000, 0.000], [0.751, 0.751, 0.746], [0.056, 0.397, 0.833], [0.714, 0.056, 0.833], [0.944, 0.603, 0.167], [0.249, 0.249, 0.254]]
}

=====

Entry 3:
{
  "formula": "Hf6Ga3Re",
  "functional": "PBE",
  "state": "relaxed",
  "e_tot_ry_per_atom": -0.6074,
  "sg": "P2_1/c",
  "dos_ef_per_ev_cell": 17.081,
  "m_tot_mub_per_cell": 0.00,
  "lattice_angstrom": [[-4.380, 2.343, -2.248], [-4.533, -2.881, 5.829], [1.619, 7.837, 5.132]],
  "species": ["Ga", "Hf", "Hf", "Ga", "Ga", "Ga", "Ga", "Hf", "Hf", "Hf", "Ga", "Hf", "Hf", "Hf", "Hf", "Hf", "Re", "Hf", "Hf", "Re"],
  "fractional_positions": [[0.630, 0.893, 0.754], [0.906, 0.676, 0.555], [0.595, 0.176, 0.561], [0.130, 0.607, 0.254], [0.000, 0.000, 0.500], [0.500, 0.500, 0.000], [0.370, 0.107, 0.246], [0.656, 0.434, 0.255], [0.905, 0.676, 0.939], [0.344, 0.566, 0.745], [0.870, 0.393, 0.746], [0.844, 0.934, 0.245], [0.156, 0.066, 0.755], [0.406, 0.824, 0.055], [0.094, 0.324, 0.445], [0.405, 0.824, 0.439], [0.500, 0.500, 0.500], [0.594, 0.176, 0.945], [0.095, 0.324, 0.061], [0.000, 0.000, 0.000]]
}

=====

Entry 4:
{
  "formula": "KHg2Os",
  "functional": "PBE",
  "state": "relaxed",
  "e_tot_ry_per_atom": -0.1876,
  "sg": "Pmmm",
  "dos_ef_per_ev_cell": 3.589,
  "m_tot_mub_per_cell": 0.00,
  "lattice_angstrom": [[2.856, 0.000, 0.000], [0.000, 4.278, 0.000], [0.000, 0.000, 7.600]],
  "species": ["Hg", "Hg", "Os", "K"],
  "fractional_positions": [[0.000, 0.000, 0.558], [0.000, 0.000, 0.942], [0.500, 0.500, 0.750], [0.500, 0.500, 0.250]]
}

=====

Entry 5:
{
  "formula": "RbCa2MgPd",
  "functional": "PBE",
  "state": "relaxed",
  "e_tot_ry_per_atom": -0.1875,
  "sg": "P4/mmm",
  "dos_ef_per_ev_cell": 2.512,
  "m_tot_mub_per_cell": 0.00,
  "lattice_angstrom": [[-2.590, 0.210, -5.134], [-3.504, -4.278, 1.593], [-3.546, 3.626, 1.937]],
  "species": ["Pd", "Ca", "Rb", "Mg", "Ca"],
  "fractional_positions": [[0.000, 0.000, 0.000], [0.500, 0.000, 0.000], [0.500, 0.500, 0.500], [0.000, 0.000, 0.500], [0.000, 0.500, 0.000]]
}

=====

Entry 6:
{
  "formula": "Al2CrRu",
  "functional": "PBE",
  "state": "relaxed",
  "e_tot_ry_per_atom": -0.4993,
  "sg": "F-43m",
  "dos_ef_per_ev_cell": 2.598,
  "m_tot_mub_per_cell": 2.01,
  "lattice_angstrom": [[4.269, 0.000, 0.000], [2.135, 3.697, 0.000], [2.135, 1.232, 3.486]],
  "species": ["Al", "Al", "Ru", "Cr"],
  "fractional_positions": [[0.250, 0.250, 0.250], [0.000, 0.000, 0.000], [0.750, 0.750, 0.750], [0.500, 0.500, 0.500]]
}

=====

Entry 7:
{
  "formula": "MoH3Au",
  "functional": "PBE",
  "state": "relaxed",
  "e_tot_ry_per_atom": -0.2953,
  "sg": "Pm-3m",
  "dos_ef_per_ev_cell": 2.666,
  "m_tot_mub_per_cell": 1.27,
  "lattice_angstrom": [[3.581, 0.000, 0.000], [0.000, 3.581, 0.000], [0.000, 0.000, 3.581]],
  "species": ["Mo", "H", "H", "H", "Au"],
  "fractional_positions": [[0.500, 0.500, 0.500], [0.500, 0.000, 0.000], [0.000, 0.500, 0.000], [0.000, 0.000, 0.500], [0.000, 0.000, 0.000]]
}

=====

Entry 8:
{
  "formula": "Li5Zn2Pd2",
  "functional": "PBE",
  "state": "relaxed",
  "e_tot_ry_per_atom": -0.2039,
  "sg": "Ima2",
  "dos_ef_per_ev_cell": 6.013,
  "m_tot_mub_per_cell": 0.00,
  "lattice_angstrom": [[4.365, 0.000, 0.000], [0.000, 7.527, 0.000], [-2.182, -3.763, 8.056]],
  "species": ["Pd", "Pd", "Zn", "Zn", "Pd", "Li", "Zn", "Li", "Li", "Li", "Li", "Pd", "Li", "Li", "Zn", "Li", "Li", "Li"],
  "fractional_positions": [[0.916, 0.457, 0.833], [0.418, 0.957, 0.833], [0.000, 0.872, 0.000], [0.748, 0.948, 0.500], [0.084, 0.623, 0.167], [0.416, 0.622, 0.833], [0.500, 0.372, 0.000], [0.751, 0.284, 0.500], [0.917, 0.122, 0.833], [0.584, 0.789, 0.167], [0.663, 0.533, 0.325], [0.582, 0.123, 0.167], [0.837, 0.708, 0.675], [0.249, 0.784, 0.500], [0.252, 0.448, 0.500], [0.083, 0.289, 0.167], [0.337, 0.208, 0.675], [0.163, 0.033, 0.325]]
}

=====

Entry 9:
{
  "formula": "TaNb3Mo3",
  "functional": "PBE",
  "state": "relaxed",
  "e_tot_ry_per_atom": -0.7668,
  "sg": "Cmmm",
  "dos_ef_per_ev_cell": 13.805,
  "m_tot_mub_per_cell": 0.00,
  "lattice_angstrom": [[6.413, -0.008, -0.001], [0.006, 6.413, -0.001], [0.001, 0.001, 6.318]],
  "species": ["Ta", "Nb", "Mo", "Mo", "Mo", "Mo", "Mo", "Nb", "Nb", "Ta", "Nb", "Mo", "Nb", "Nb"],
  "fractional_positions": [[0.752, 0.752, 0.000], [0.252, 0.748, 0.000], [0.000, 0.000, 0.750], [0.000, 0.500, 0.750], [0.000, 0.000, 0.250], [0.500, 0.000, 0.250], [0.000, 0.500, 0.250], [0.748, 0.748, 0.500], [0.748, 0.252, 0.500], [0.248, 0.248, 0.000], [0.252, 0.748, 0.500], [0.500, 0.000, 0.750], [0.748, 0.252, 0.000], [0.252, 0.252, 0.500]]
}

=====

Entry 10:
{
  "formula": "Ho7Er2Sc",
  "functional": "PBE",
  "state": "relaxed",
  "e_tot_ry_per_atom": -0.2971,
  "sg": "Cmmm",
  "dos_ef_per_ev_cell": 11.539,
  "m_tot_mub_per_cell": 0.00,
  "lattice_angstrom": [[-1.913, 3.874, -2.475], [-7.110, -5.611, -3.285], [-0.048, 5.170, 8.130]],
  "species": ["Ho", "Ho", "Er", "Ho", "Ho", "Er", "Sc", "Ho", "Ho", "Ho"],
  "fractional_positions": [[0.500, 0.076, 0.282], [0.000, 0.190, 0.810], [0.500, 0.299, 0.701], [0.500, 0.718, 0.924], [0.500, 0.500, 0.500], [0.500, 0.701, 0.299], [0.000, 0.000, 0.000], [0.500, 0.924, 0.718], [0.000, 0.810, 0.190], [0.500, 0.282, 0.076]]
}

=====

Entry 11:
{
  "formula": "FeTc2Cl",
  "functional": "PBE",
  "state": "relaxed",
  "formation_energy_uncorrected_kj_per_mol_atoms": 29.7,
  "sg": "P4mm",
  "dos_ef_per_ev_cell": 2.139,
  "m_tot_mub_per_cell": 3.23,
  "lattice_angstrom": [[2.891, 0.000, 0.000], [0.000, 2.891, 0.000], [0.000, 0.000, 7.085]],
  "species": ["Tc", "Fe", "Tc", "Cl"],
  "fractional_positions": [[0.500, 0.500, 0.233], [0.500, 0.500, 0.749], [0.000, 0.000, 0.011], [0.000, 0.000, 0.508]]
}

=====

Entry 12:
{
  "formula": "Pm3HgPd12",
  "functional": "PBE",
  "state": "relaxed",
  "e_tot_ry_per_atom": -0.3984,
  "sg": "P4/mmm",
  "dos_ef_per_ev_cell": 13.605,
  "m_tot_mub_per_cell": 0.00,
  "lattice_angstrom": [[4.156, 0.000, 0.000], [0.000, 4.156, 0.000], [0.000, 0.000, 16.620]],
  "species": ["Pd", "Pd", "Pd", "Pd", "Hg", "Pm", "Pm", "Pd", "Pd", "Pd", "Pm", "Pd", "Pd", "Pd", "Pd", "Pd"],
  "fractional_positions": [[0.500, 0.500, 0.500], [0.500, 0.500, 0.248], [0.000, 0.500, 0.880], [0.500, 0.500, 0.752], [0.000, 0.000, 0.000], [0.000, 0.000, 0.755], [0.000, 0.000, 0.500], [0.500, 0.000, 0.120], [0.500, 0.000, 0.374], [0.000, 0.500, 0.374], [0.000, 0.000, 0.245], [0.500, 0.000, 0.880], [0.000, 0.500, 0.120], [0.500, 0.000, 0.626], [0.000, 0.500, 0.626], [0.500, 0.500, 0.000]]
}

=====

Entry 13:
{
  "formula": "TcP2W",
  "functional": "PBE",
  "state": "relaxed",
  "e_tot_ry_per_atom": -0.6440,
  "sg": "Fm-3m",
  "dos_ef_per_ev_cell": 2.630,
  "m_tot_mub_per_cell": 0.00,
  "lattice_angstrom": [[0.000, 2.984, 2.984], [2.984, 0.000, 2.984], [2.984, 2.984, 0.000]],
  "species": ["W", "P", "P", "Tc"],
  "fractional_positions": [[0.500, 0.500, 0.500], [0.250, 0.250, 0.250], [0.750, 0.750, 0.750], [0.000, 0.000, 0.000]]
}

=====

Entry 14:
{
  "formula": "ZnRhBr3",
  "functional": "PBE",
  "state": "relaxed",
  "formation_energy_uncorrected_kj_per_mol_atoms": 4.9,
  "sg": "Pm-3m",
  "dos_ef_per_ev_cell": 4.523,
  "m_tot_mub_per_cell": 0.00,
  "lattice_angstrom": [[-1.914, 4.705, -0.142], [-0.388, -0.310, -5.057], [-4.691, -1.894, 0.476]],
  "species": ["Br", "Br", "Rh", "Zn", "Br"],
  "fractional_positions": [[0.000, 0.500, 0.000], [0.500, 0.000, 0.000], [0.000, 0.000, 0.000], [0.500, 0.500, 0.500], [0.000, 0.000, 0.500]]
}

=====

Entry 15:
{
  "formula": "Li2AsPdO4",
  "functional": "PBE",
  "state": "relaxed",
  "formation_energy_uncorrected_kj_per_mol_atoms": -122.9,
  "sg": "P1",
  "dos_ef_per_ev_cell": 0.428,
  "m_tot_mub_per_cell": 1.03,
  "lattice_angstrom": [[-0.898, 4.571, -0.076], [-4.165, -0.775, 1.451], [3.832, -1.791, 3.893]],
  "species": ["Pd", "O", "O", "O", "Li", "O", "As", "Li"],
  "fractional_positions": [[0.947, 0.369, 0.950], [0.823, 0.421, 0.275], [0.418, 0.895, 0.259], [0.628, 0.651, 0.697], [0.494, 0.990, 0.974], [0.094, 0.048, 0.666], [0.731, 0.760, 0.476], [0.251, 0.253, 0.477]]
}

=====

Entry 16:
{
  "formula": "HfGa2Re2",
  "functional": "PBE",
  "state": "relaxed",
  "e_tot_ry_per_atom": -0.5810,
  "sg": "I4/mmm",
  "dos_ef_per_ev_cell": 1.373,
  "m_tot_mub_per_cell": 0.00,
  "lattice_angstrom": [[4.181, 0.000, 0.000], [0.000, 4.181, 0.000], [2.091, 2.091, 5.197]],
  "species": ["Re", "Re", "Hf", "Ga", "Ga"],
  "fractional_positions": [[0.611, 0.611, 0.779], [0.389, 0.389, 0.221], [0.000, 0.000, 0.000], [0.250, 0.750, 0.500], [0.750, 0.250, 0.500]]
}

=====

Entry 17:
{
  "formula": "ZrIr2Os",
  "functional": "PBE",
  "state": "relaxed",
  "e_tot_ry_per_atom": -0.7069,
  "sg": "P4/mmm",
  "dos_ef_per_ev_cell": 2.546,
  "m_tot_mub_per_cell": 0.00,
  "lattice_angstrom": [[2.819, 0.002, 0.000], [-0.003, 2.819, 0.000], [0.000, 0.000, 8.023]],
  "species": ["Ir", "Zr", "Os", "Ir"],
  "fractional_positions": [[0.000, 0.000, 0.479], [0.500, 0.500, 0.750], [0.500, 0.500, 0.250], [0.000, 0.000, 0.021]]
}

=====

Entry 18:
{
  "formula": "Rb3CaHf",
  "functional": "PBE",
  "state": "relaxed",
  "e_tot_ry_per_atom": -0.1292,
  "sg": "Pm-3m",
  "dos_ef_per_ev_cell": 2.510,
  "m_tot_mub_per_cell": 4.97,
  "lattice_angstrom": [[7.061, 0.000, 0.000], [0.000, 7.061, 0.000], [0.000, 0.000, 7.061]],
  "species": ["Ca", "Rb", "Rb", "Rb", "Hf"],
  "fractional_positions": [[0.500, 0.500, 0.500], [0.500, 0.000, 0.000], [0.000, 0.500, 0.000], [0.000, 0.000, 0.500], [0.000, 0.000, 0.000]]
}

=====

Entry 19:
{
  "formula": "InPbSeBr2",
  "functional": "PBE",
  "state": "relaxed",
  "formation_energy_uncorrected_kj_per_mol_atoms": -28.2,
  "sg": "P4/mmm",
  "dos_ef_per_ev_cell": 2.229,
  "m_tot_mub_per_cell": 0.00,
  "lattice_angstrom": [[5.576, 0.000, 0.000], [0.000, 5.576, 0.000], [0.000, 0.000, 5.468]],
  "species": ["Se", "Br", "Br", "Pb", "In"],
  "fractional_positions": [[0.000, 0.000, 0.500], [0.500, 0.000, 0.000], [0.000, 0.500, 0.000], [0.500, 0.500, 0.500], [0.000, 0.000, 0.000]]
}

=====

Entry 20:
{
  "formula": "MoWAu",
  "functional": "PBE",
  "state": "relaxed",
  "e_tot_ry_per_atom": -0.5927,
  "sg": "F-43m",
  "dos_ef_per_ev_cell": 3.329,
  "m_tot_mub_per_cell": 0.00,
  "lattice_angstrom": [[-3.667, -0.318, 2.336], [-0.729, -3.537, 2.442], [0.153, 0.283, 4.347]],
  "species": ["W", "Mo", "Au"],
  "fractional_positions": [[0.750, 0.750, 0.750], [0.500, 0.500, 0.500], [0.000, 0.000, 0.000]]
}

=====

Entry 21:
{
  "formula": "Li2Al2ZnCu2",
  "functional": "PBE",
  "state": "relaxed",
  "e_tot_ry_per_atom": -0.2292,
  "sg": "C2/m",
  "dos_ef_per_ev_cell": 1.665,
  "m_tot_mub_per_cell": 0.00,
  "lattice_angstrom": [[-3.529, -2.062, -0.642], [2.727, -1.556, 3.339], [-3.470, 5.314, 2.010]],
  "species": ["Li", "Li", "Al", "Al", "Zn", "Cu", "Cu"],
  "fractional_positions": [[0.762, 0.524, 0.668], [0.238, 0.476, 0.332], [0.496, 0.992, 0.794], [0.504, 0.008, 0.206], [0.000, 0.000, 0.500], [0.209, 0.419, 0.881], [0.791, 0.581, 0.119]]
}

=====

Entry 22:
{
  "formula": "TmHfNiRu",
  "functional": "PBE",
  "state": "relaxed",
  "e_tot_ry_per_atom": -0.5792,
  "sg": "F-43m",
  "dos_ef_per_ev_cell": 2.008,
  "m_tot_mub_per_cell": 0.00,
  "lattice_angstrom": [[-0.009, 4.613, -0.481], [-3.521, 2.098, -2.170], [-3.006, 2.577, 2.415]],
  "species": ["Ru", "Ni", "Hf", "Tm"],
  "fractional_positions": [[0.750, 0.750, 0.750], [0.250, 0.250, 0.250], [0.000, 0.000, 0.000], [0.500, 0.500, 0.500]]
}

=====

Entry 23:
{
  "formula": "HoSiIr3",
  "functional": "PBE",
  "state": "relaxed",
  "formation_energy_uncorrected_kj_per_mol_atoms": -57.9,
  "sg": "Imma",
  "dos_ef_per_ev_cell": 5.278,
  "m_tot_mub_per_cell": 0.00,
  "lattice_angstrom": [[-1.501, -0.638, 6.052], [6.059, -1.417, 0.752], [-0.203, 5.166, -3.543]],
  "species": ["Ir", "Ir", "Ir", "Ir", "Ir", "Ho", "Si", "Si", "Ir", "Ho"],
  "fractional_positions": [[0.000, 0.703, 0.203], [0.500, 0.703, 0.703], [0.677, 0.927, 0.250], [0.323, 0.073, 0.750], [0.500, 0.297, 0.297], [0.009, 0.259, 0.250], [0.500, 0.000, 0.500], [0.500, 0.500, 0.000], [0.000, 0.297, 0.797], [0.991, 0.741, 0.750]]
}

=====

Entry 24:
{
  "formula": "Rb2Pu2FeS6",
  "functional": "PBE",
  "state": "relaxed",
  "formation_energy_uncorrected_kj_per_mol_atoms": -110.8,
  "sg": "C2/m",
  "dos_ef_per_ev_cell": 18.852,
  "m_tot_mub_per_cell": 8.00,
  "lattice_angstrom": [[-4.025, -5.132, -0.585], [6.194, -1.021, 1.863], [-2.885, 2.952, 7.088]],
  "species": ["Rb", "S", "S", "S", "Pu", "S", "Fe", "S", "S", "Rb", "Pu"],
  "fractional_positions": [[0.173, 0.827, 0.000], [0.638, 0.936, 0.322], [0.936, 0.638, 0.322], [0.233, 0.233, 0.324], [0.667, 0.333, 0.500], [0.362, 0.064, 0.678], [0.000, 0.000, 0.500], [0.767, 0.767, 0.676], [0.064, 0.362, 0.678], [0.827, 0.173, 0.000], [0.333, 0.667, 0.500]]
}